1.
YSc2Si | PBE | relaxed

Output
Calculated total energy in eV/atom: -6.40
Formation energy without anion corrections in eV/atom: -0.26
N(E_F) in states/eV/f.u.: 4.71
M_tot in μB per atom: 0.000

a b c (Å): 3.820 3.820 6.193
angles (deg): 90.00 90.00 90.00
Element x y z (fractional)
1 Y 0.000 0.000 0.000
2 Sc 0.000 0.000 0.543
3 Sc 0.500 0.500 0.295
4 Si 0.500 0.500 0.753

2.
Li2LaCu | PBE | relaxed

Output
Calculated total energy in eV/atom: -2.97
N(E_F) in states/eV/f.u.: 3.36
M_tot in μB per atom: 0.211

a b c (Å): 3.213 3.213 28.951
angles (deg): 90.00 90.00 120.00
Element x y z (fractional)
1 Li 0.000 0.000 0.229
2 Li 0.000 0.000 0.771
3 Li 0.333 0.667 0.437
4 Li 0.333 0.667 0.896
5 Li 0.667 0.333 0.104
6 Li 0.667 0.333 0.563
7 La 0.000 0.000 0.000
8 La 0.333 0.667 0.667
9 La 0.667 0.333 0.333
10 Cu 0.000 0.000 0.500
11 Cu 0.333 0.667 0.167
12 Cu 0.667 0.333 0.833

3.
CuAg2Pd | PBE | relaxed

Output
Calculated total energy in eV/atom: -3.45
N(E_F) in states/eV/f.u.: 1.61
M_tot in μB per atom: 0.000

a b c (Å): 7.230 7.230 5.338
angles (deg): 90.00 90.00 90.00
Element x y z (fractional)
1 Cu 0.000 0.000 0.000
2 Cu 0.000 0.500 0.250
3 Cu 0.500 0.000 0.750
4 Cu 0.500 0.500 0.500
5 Ag 0.230 0.250 0.125
6 Ag 0.250 0.730 0.375
7 Ag 0.250 0.770 0.875
8 Ag 0.270 0.250 0.625
9 Ag 0.730 0.750 0.625
10 Ag 0.750 0.230 0.875
11 Ag 0.750 0.270 0.375
12 Ag 0.770 0.750 0.125
13 Pd 0.000 0.000 0.500
14 Pd 0.000 0.500 0.750
15 Pd 0.500 0.000 0.250
16 Pd 0.500 0.500 0.000

4.
Tb2Pm3Er6 | PBE | relaxed

Output
Calculated total energy in eV/atom: -4.35
N(E_F) in states/eV/f.u.: 17.05
M_tot in μB per atom: 0.000

a b c (Å): 16.902 16.902 16.902
angles (deg): 163.91 163.91 22.83
Element x y z (fractional)
1 Tb 0.046 0.046 0.000
2 Tb 0.954 0.954 0.000
3 Pm 0.297 0.297 0.000
4 Pm 0.500 0.500 0.000
5 Pm 0.703 0.703 0.000
6 Er 0.121 0.621 0.500
7 Er 0.193 0.193 0.000
8 Er 0.379 0.879 0.500
9 Er 0.621 0.121 0.500
10 Er 0.807 0.807 0.000
11 Er 0.879 0.379 0.500

5.
La2PmFe | PBE | relaxed

Output
Calculated total energy in eV/atom: -5.68
N(E_F) in states/eV/f.u.: 4.91
M_tot in μB per atom: 0.000

a b c (Å): 3.820 9.973 6.298
angles (deg): 90.00 105.14 90.00
Element x y z (fractional)
1 La 0.126 0.077 0.276
2 La 0.126 0.423 0.276
3 La 0.874 0.577 0.724
4 La 0.874 0.923 0.724
5 Pm 0.453 0.250 0.809
6 Pm 0.547 0.750 0.191
7 Fe 0.193 0.750 0.555
8 Fe 0.807 0.250 0.445

6.
MgS3O | PBE | relaxed

Output
Calculated total energy in eV/atom: -2.71
Formation energy without anion corrections in eV/atom: 1.07
N(E_F) in states/eV/f.u.: 9.74
M_tot in μB per atom: 0.000

a b c (Å): 4.680 4.680 4.680
angles (deg): 90.00 90.00 90.00
Element x y z (fractional)
1 Mg 0.000 0.000 0.000
2 S 0.000 0.000 0.500
3 S 0.000 0.500 0.000
4 S 0.500 0.000 0.000
5 O 0.500 0.500 0.500

7.
CuReOsO2 | PBE | relaxed

Output
Calculated total energy in eV/atom: -6.93
Formation energy without anion corrections in eV/atom: 0.61
N(E_F) in states/eV/f.u.: 2.80
M_tot in μB per atom: 0.722

a b c (Å): 3.693 3.693 5.716
angles (deg): 90.00 90.00 90.00
Element x y z (fractional)
1 Cu 0.000 0.000 0.000
2 Re 0.500 0.500 0.000
3 Os 0.000 0.000 0.500
4 O 0.000 0.500 0.500
5 O 0.500 0.000 0.500

8.
Pr8ErSc5 | PBE | relaxed

Output
Calculated total energy in eV/atom: -5.05
N(E_F) in states/eV/f.u.: 22.59
M_tot in μB per atom: 0.000

a b c (Å): 8.401 8.401 8.401
angles (deg): 111.18 111.18 106.11
Element x y z (fractional)
1 Pr 0.174 0.403 0.579
2 Pr 0.332 0.229 0.239
3 Pr 0.404 0.826 0.229
4 Pr 0.597 0.176 0.771
5 Pr 0.771 0.010 0.104
6 Pr 0.824 0.596 0.421
7 Pr 0.907 0.668 0.896
8 Pr 0.990 0.093 0.761
9 Er 0.500 0.500 0.000
10 Sc 0.074 0.483 0.199
11 Sc 0.125 0.926 0.409
12 Sc 0.284 0.875 0.801
13 Sc 0.517 0.716 0.591
14 Sc 0.750 0.250 0.500